Density functional theory data (PBE+U) for a relaxed structure of Pm2MnAuO6.

Cell lengths 4.607, 5.537, 5.537 Å; angles 90.00, 90.00, 90.00 degrees
Site moments in Bohr magnetons follow the coordinates.
Atoms (fractional coordinates):
Pm  0.017  0.500  0.000  0.01
Pm  0.017  0.000  0.500  0.01
Mn  0.617  0.500  0.500  3.50
Au  0.598  0.000  0.000  -0.33
O  0.722  0.266  0.266  -0.11
O  0.722  0.266  0.734  -0.11
O  0.191  0.500  0.500  -0.05
O  0.120  0.000  0.000  0.00
O  0.722  0.734  0.734  -0.11
O  0.722  0.734  0.266  -0.11

energy = -68.242 eV/cell